An optimized crystal structure of Tm4BiTeSe2. Source: Alexandria, functional GGA-PBE.

Formation energy from raw total energies ... -10.6 eV per formula unit
Mass density ... 9313 kg/m3
DOS(E_F) ... 3.291 states/eV per cell

Cell: 7.213 4.180 7.330 Å, 90.00 109.22 90.00°
Space group P2/m (No. 10)
Unique sites:
Tm: 0.236 0.000 0.218
Tm: 0.259 0.500 0.780
Bi: 0.000 0.000 0.500
Te: 0.500 0.500 0.500
Se: 0.000 0.500 0.000
Se: 0.500 0.000 0.000


An optimized crystal structure of Np2PAu. Source: Alexandria, functional GGA-PBE.

DFT formation energy ... -0.363 eV per atom
Mass density ... 13602 kg/m3
Offset from the most stable computed form ... 0.0 kJ/mol of atoms
DOS(E_F) ... 12.509 states/eV per cell

Cell: 3.440 3.440 7.241 Å, 90.00 90.00 90.00°
Space group P4/mmm (No. 123)
Unique sites:
Np: 0.000 0.000 0.216
P: 0.500 0.500 0.000
Au: 0.500 0.500 0.500


An optimized crystal structure of Mg2AlReP. Source: Alexandria, functional GGA-PBE.

DFT formation energy ... 1.149 eV per atom
Mass density ... 4395 kg/m3
DOS(E_F) ... 4.050 states/eV per cell

Cell: 4.898 4.898 4.611 Å, 90.00 90.00 90.00°
Space group P4/mmm (No. 123)
Unique sites:
Mg: 0.000 0.500 0.000
Al: 0.000 0.000 0.000
Re: 0.000 0.000 0.500
P: 0.500 0.500 0.500


An optimized crystal structure of CsScP2Cl. Source: Alexandria, functional GGA-PBE.

Formation energy from raw total energies ... 5.4 eV per formula unit
Mass density ... 2740 kg/m3
Offset from the most stable computed form ... 164.9 kJ/mol of atoms
DOS(E_F) ... 4.169 states/eV per cell

Cell: 5.402 5.402 5.718 Å, 90.00 90.00 90.00°
Space group P4/mmm (No. 123)
Unique sites:
Cs: 0.000 0.000 0.000
Sc: 0.500 0.500 0.500
P: 0.000 0.500 0.000
Cl: 0.000 0.000 0.500


> Which of these has the highest DOS(E_F)?

Np2PAu